1.
A relaxed Li4MnCo2O7 crystal. Source: Alexandria, functional PBE with a Hubbard U.

Unit cell a=10.645 b=10.645 c=8.218 alpha=101.89 beta=101.89 gamma=15.60
Sites, in units of the cell vectors:
Li: 0.000 0.000 0.000
Li: 0.002 0.002 0.509
Li: 0.137 0.137 0.066
Li: 0.284 0.284 0.652
Li: 0.428 0.428 0.198
Li: 0.564 0.564 0.801
Li: 0.711 0.711 0.355
Li: 0.856 0.856 0.935
Mn: 0.569 0.569 0.279
Mn: 0.855 0.855 0.428
Co: 0.142 0.142 0.584
Co: 0.284 0.284 0.142
Co: 0.431 0.431 0.742
Co: 0.714 0.714 0.864
O: 0.007 0.007 0.258
O: 0.136 0.136 0.328
O: 0.150 0.150 0.826
O: 0.277 0.277 0.905
O: 0.290 0.290 0.383
O: 0.416 0.416 0.451
O: 0.422 0.422 0.954
O: 0.572 0.572 0.058
O: 0.575 0.575 0.528
O: 0.710 0.710 0.622
O: 0.721 0.721 0.102
O: 0.847 0.847 0.185
O: 0.856 0.856 0.654
O: 0.994 0.994 0.744

* E_tot: -5.794 eV/atom
* symmetry: Cm (8)

2.
A relaxed Li6Mn3CoO10 crystal. Source: Alexandria, functional PBE with a Hubbard U.

Unit cell a=5.023 b=5.187 c=7.673 alpha=107.65 beta=103.39 gamma=101.08
Sites, in units of the cell vectors:
Li: 0.000 0.000 0.000
Li: 0.093 0.212 0.713
Li: 0.196 0.406 0.426
Li: 0.388 0.816 0.811
Li: 0.593 0.212 0.216
Li: 0.800 0.625 0.623
Mn: 0.293 0.598 0.107
Mn: 0.685 0.397 0.905
Mn: 0.897 0.813 0.319
Co: 0.490 0.020 0.521
O: 0.036 0.603 0.879
O: 0.146 0.807 0.544
O: 0.235 0.010 0.285
O: 0.371 0.214 0.959
O: 0.470 0.405 0.676
O: 0.553 0.618 0.352
O: 0.649 0.775 0.064
O: 0.728 0.042 0.764
O: 0.826 0.156 0.447
O: 0.945 0.440 0.161

* E_tot: -6.071 eV/atom
* symmetry: P1 (1)

3.
A relaxed Li4MnCo2O7 crystal. Source: Alexandria, functional PBE with a Hubbard U.

Unit cell a=9.753 b=9.753 c=9.640 alpha=114.82 beta=114.82 gamma=16.93
Sites, in units of the cell vectors:
Li: 0.000 0.000 0.000
Li: 0.134 0.134 0.576
Li: 0.293 0.293 0.152
Li: 0.437 0.437 0.724
Li: 0.505 0.505 0.517
Li: 0.575 0.575 0.309
Li: 0.719 0.719 0.854
Li: 0.873 0.873 0.459
Mn: 0.647 0.647 0.079
Mn: 0.936 0.936 0.231
Co: 0.075 0.075 0.791
Co: 0.218 0.218 0.364
Co: 0.361 0.361 0.939
Co: 0.790 0.790 0.651
O: 0.032 0.032 0.384
O: 0.118 0.118 0.181
O: 0.178 0.178 0.982
O: 0.262 0.262 0.765
O: 0.317 0.317 0.534
O: 0.400 0.400 0.317
O: 0.460 0.460 0.117
O: 0.549 0.549 0.907
O: 0.608 0.608 0.703
O: 0.688 0.688 0.460
O: 0.745 0.745 0.257
O: 0.833 0.833 0.043
O: 0.892 0.892 0.841
O: 0.976 0.976 0.635

* E_tot: -5.828 eV/atom
* symmetry: Cm (8)

4.
A relaxed Li4MnCo2O7 crystal. Source: Alexandria, functional PBE with a Hubbard U.

Unit cell a=6.483 b=6.494 c=6.560 alpha=71.76 beta=72.23 gamma=71.25
Sites, in units of the cell vectors:
Li: 0.000 0.000 0.000
Li: 0.068 0.650 0.784
Li: 0.202 0.929 0.356
Li: 0.349 0.203 0.937
Li: 0.498 0.507 0.501
Li: 0.646 0.785 0.073
Li: 0.789 0.065 0.649
Li: 0.925 0.354 0.213
Mn: 0.136 0.283 0.576
Mn: 0.574 0.141 0.285
Co: 0.270 0.590 0.136
Co: 0.427 0.858 0.713
Co: 0.710 0.431 0.860
Co: 0.855 0.713 0.428
O: 0.023 0.328 0.870
O: 0.121 0.978 0.673
O: 0.160 0.598 0.465
O: 0.257 0.248 0.270
O: 0.335 0.880 0.015
O: 0.406 0.552 0.821
O: 0.450 0.169 0.599
O: 0.546 0.832 0.402
O: 0.591 0.447 0.192
O: 0.666 0.130 0.983
O: 0.738 0.736 0.733
O: 0.838 0.399 0.531
O: 0.869 0.024 0.332
O: 0.967 0.673 0.126

* E_tot: -5.852 eV/atom
* symmetry: P1 (1)

5.
A relaxed Li4MnCo2O7 crystal. Source: Alexandria, functional PBE with a Hubbard U.

Unit cell a=5.596 b=7.768 c=8.138 alpha=108.01 beta=108.90 gamma=100.24
Sites, in units of the cell vectors:
Li: 0.000 0.000 0.000
Li: 0.006 0.336 0.019
Li: 0.136 0.803 0.603
Li: 0.261 0.338 0.349
Li: 0.327 0.756 0.891
Li: 0.613 0.715 0.560
Li: 0.830 0.018 0.277
Li: 0.919 0.425 0.487
Mn: 0.541 0.188 0.075
Mn: 0.696 0.622 0.202
Co: 0.307 0.833 0.261
Co: 0.367 0.271 0.751
Co: 0.786 0.596 0.853
Co: 0.852 0.102 0.655
O: 0.083 0.211 0.538
O: 0.128 0.668 0.348
O: 0.195 0.198 0.908
O: 0.247 0.589 0.491
O: 0.408 0.967 0.135
O: 0.455 0.008 0.801
O: 0.471 0.550 0.901
O: 0.577 0.406 0.284
O: 0.664 0.856 0.404
O: 0.676 0.948 0.770
O: 0.736 0.328 0.782
O: 0.902 0.205 0.161
O: 0.939 0.675 0.718
O: 0.947 0.792 0.113

* E_tot: -5.601 eV/atom
* symmetry: P1 (1)

6.
A relaxed Li4MnCo2O7 crystal. Source: Alexandria, functional PBE with a Hubbard U.

Unit cell a=5.035 b=5.060 c=9.938 alpha=100.18 beta=100.61 gamma=98.80
Sites, in units of the cell vectors:
Li: 0.000 0.000 0.000
Li: 0.000 0.000 0.500
Li: 0.142 0.566 0.143
Li: 0.284 0.142 0.289
Li: 0.428 0.728 0.431
Li: 0.572 0.272 0.569
Li: 0.716 0.858 0.711
Li: 0.858 0.434 0.857
Mn: 0.145 0.573 0.644
Mn: 0.855 0.427 0.356
Co: 0.287 0.144 0.786
Co: 0.429 0.715 0.929
Co: 0.571 0.285 0.071
Co: 0.713 0.856 0.214
O: 0.036 0.766 0.316
O: 0.088 0.772 0.820
O: 0.197 0.382 0.467
O: 0.248 0.367 0.960
O: 0.343 0.920 0.619
O: 0.389 0.937 0.101
O: 0.484 0.516 0.754
O: 0.516 0.484 0.246
O: 0.611 0.063 0.899
O: 0.657 0.080 0.381
O: 0.752 0.633 0.040
O: 0.803 0.618 0.533
O: 0.912 0.228 0.180
O: 0.964 0.234 0.684

* E_tot: -5.859 eV/atom
* symmetry: P-1 (2)

7.
A relaxed Li6Mn3CoO10 crystal. Source: Alexandria, functional PBE with a Hubbard U.

Unit cell a=5.034 b=5.190 c=7.696 alpha=103.76 beta=107.32 gamma=101.21
Sites, in units of the cell vectors:
Li: 0.000 0.000 0.000
Li: 0.007 0.511 0.500
Li: 0.187 0.511 0.900
Li: 0.379 0.494 0.292
Li: 0.613 0.504 0.709
Li: 0.813 0.496 0.100
Mn: 0.401 0.992 0.804
Mn: 0.597 0.010 0.197
Mn: 0.803 0.999 0.606
Co: 0.192 0.012 0.390
O: 0.028 0.755 0.750
O: 0.204 0.210 0.653
O: 0.222 0.774 0.170
O: 0.417 0.222 0.047
O: 0.419 0.773 0.567
O: 0.570 0.234 0.428
O: 0.585 0.781 0.955
O: 0.780 0.231 0.836
O: 0.800 0.795 0.347
O: 0.979 0.242 0.257

* E_tot: -6.137 eV/atom
* symmetry: P1 (1)

8.
A relaxed Li5MnCo2O8 crystal. Source: Alexandria, functional PBE with a Hubbard U.

Unit cell a=9.720 b=9.720 c=4.956 alpha=93.78 beta=93.78 gamma=17.12
Sites, in units of the cell vectors:
Li: 0.000 0.000 0.000
Li: 0.113 0.113 0.368
Li: 0.230 0.230 0.736
Li: 0.504 0.504 0.487
Li: 0.722 0.722 0.253
Mn: 0.364 0.364 0.111
Co: 0.614 0.614 0.868
Co: 0.864 0.864 0.611
O: 0.060 0.060 0.700
O: 0.169 0.169 0.037
O: 0.311 0.311 0.430
O: 0.416 0.416 0.789
O: 0.556 0.556 0.154
O: 0.672 0.672 0.583
O: 0.809 0.809 0.926
O: 0.920 0.920 0.298

* E_tot: -5.689 eV/atom
* symmetry: Cm (8)